Record 1
Material: La2Cd2Sb
Method: DFT, PBE
State: optimized geometry

Cell lengths 7.883, 7.883, 4.807 Å; angles 90.00, 90.00, 90.00 degrees
Atoms (fractional coordinates):
La 0.328 0.172 0.500
La 0.828 0.328 0.500
La 0.172 0.672 0.500
La 0.672 0.828 0.500
Cd 0.373 0.873 0.000
Cd 0.127 0.373 0.000
Cd 0.627 0.127 0.000
Cd 0.873 0.627 0.000
Sb 0.500 0.500 0.000
Sb 0.000 0.000 0.000

Properties
SG ... P4/mbm, No. 127
Formation energy from raw total energies ... -0.46 eV per atom
VASP energy ... -36.24 eV for the cell shown
Energy relative to the lowest polymorph listed for this composition ... 15 meV/atom
Total magnetic moment ... 0.000 μB per formula unit

Record 2
Material: LaCd2Sb2
Method: DFT, PBE
State: optimized geometry

Cell lengths 4.343, 4.343, 8.087 Å; angles 74.42, 74.42, 90.00 degrees
Atoms (fractional coordinates):
La 0.000 0.000 0.000
Cd 0.750 0.250 0.500
Cd 0.250 0.750 0.500
Sb 0.605 0.605 0.791
Sb 0.395 0.395 0.209

Properties
SG ... I4/mmm, No. 139
Formation energy from raw total energies ... -0.42 eV per atom
VASP energy ... -17.08 eV for the cell shown
Total magnetic moment ... 0.000 μB per formula unit

Record 3
Material: LaCdSb2
Method: DFT, PBE
State: optimized geometry

Cell lengths 8.219, 8.219, 6.828 Å; angles 52.99, 52.99, 90.00 degrees
Atoms (fractional coordinates):
Sb 0.592 0.125 0.250
Sb 0.875 0.842 0.750
Sb 0.375 0.408 0.750
Sb 0.158 0.625 0.250
Cd 0.250 0.750 0.500
Cd 0.500 0.500 0.000
La 0.750 0.250 0.500
La 0.000 0.000 0.000

Properties
SG ... I-42d, No. 122
Formation energy from raw total energies ... -0.48 eV per atom
VASP energy ... -32.05 eV for the cell shown
Total magnetic moment ... 0.000 μB per formula unit

Record 4
Material: La2CdSb
Method: DFT, PBE
State: optimized geometry

Cell lengths 6.476, 6.476, 4.591 Å; angles 89.94, 89.94, 41.69 degrees
Last column: magnetic moment on the atom in μB.
Atoms (fractional coordinates):
Sb 0.459 0.459 0.625  -0.01
La 0.735 0.735 0.625  0.13
La 0.016 0.016 0.125  0.11
Cd 0.290 0.290 0.125  0.02

Properties
SG ... Cm, No. 8
Formation energy from raw total energies ... -0.72 eV per atom
VASP energy ... -17.75 eV for the cell shown
Energy relative to the lowest polymorph listed for this composition ... 14 meV/atom
Total magnetic moment ... 0.721 μB per formula unit

Q: What is the formula in the fourth record?
A: La2CdSb

Q: Which value of VASP energy does entry 1 give?
A: -36.24 eV for the cell shown

Q: Among the records above, which one has the lowest formation energy from raw total energies?
A: La2CdSb